! PBE AlGe2AsOs, relaxed; values from VASP
&SYSTEM
  ibrav = 0, nat = 5, ntyp = 4
/
ATOMIC_SPECIES
Al 26.98 Al.upf
Ge 72.64 Ge.upf
As 74.92 As.upf
Os 190.23 Os.upf
CELL_PARAMETERS angstrom
4.821 0.000 0.000
0.000 4.839 0.000
0.000 0.000 4.821
ATOMIC_POSITIONS crystal
Al 0.500 0.500 0.500
Ge 0.000 0.000 0.500
As 0.000 0.500 0.000
Os 0.000 0.000 0.000
Ge 0.500 0.000 0.000
! - Total magnetic moment: 0.0000 μB/atom
! - Calculated density: 6.46 g cm⁻³
! - DOS(E_F): 0.479 states/eV/atom
! - V: 112 Å³/cell
! - Raw total energy: -5.1837 eV/atom